Record 1
Compound: TbPt
Source: OQMD via LeMat-Bulk
Functional: PBE
Structure: relaxed

Results
energy = -6.348 eV/atom
E_form = -2.01 eV per formula unit

Cell: 3.9097 3.9097 3.6346 Å, 90.00 90.00 120.00°
Last column: nearest neighbours and their distance in Å.
Space group P-6m2 (No. 187)
Symmetry-distinct sites (fractional):
Tb 0.0000 0.0000 0.0000  6 Pt 2.90
Pt 0.3333 0.6667 0.5000  6 Tb 2.90

Record 2
Compound: Tb3Pt4
Source: OQMD via LeMat-Bulk
Functional: PBE
Structure: relaxed

Results
energy = -6.662 eV/atom
E_form = -8.52 eV per formula unit

Cell: 13.2305 13.2305 5.7343 Å, 90.00 90.00 120.00°
Last column: nearest neighbours and their distance in Å.
Space group R-3 (No. 148, hexagonal axes)
Symmetry-distinct sites (fractional):
Tb 0.0427 0.2102 0.2374  8 Pt 2.86-3.15
Pt 0.0000 0.0000 0.0000  2 Pt 2.87, 6 Tb 2.89
Pt 0.0000 0.0000 0.5000  2 Pt 2.87, 6 Tb 2.96
Pt 0.0539 0.2726 0.7196  6 Tb 2.86-3.15, 3 Pt 2.90-2.97

Record 3
Compound: TbPt
Source: OQMD via LeMat-Bulk
Functional: PBE
Structure: relaxed

Results
energy = -6.430 eV/atom
E_form = -2.17 eV per formula unit

Cell: 3.8818 3.8818 10.6888 Å, 90.00 90.00 120.00°
Last column: nearest neighbours and their distance in Å.
Space group R-3m (No. 166, hexagonal axes)
Symmetry-distinct sites (fractional):
Tb 0.0000 0.0000 0.0000  6 Pt 2.86
Pt 0.0000 0.0000 0.5000  6 Tb 2.86

| no. | magnetic moment (μB/f.u.) |
| --- | --- |
| 1 | 0.00 |
| 2 | 0.00 |
| 3 | 0.00 |